Record 1
VASP calculation (GGA-PBE) on a geometry-optimized Y2TlW structure.

a = 3.3840 Å, b = 3.7653 Å, c = 7.7801 Å
α = 90.00°, β = 90.00°, γ = 90.00°
Closest atoms and distances in Å follow each position.
Atoms (fractional coordinates):
Y  0.0000  0.0000  0.2239  4 W 3.07, 4 Tl 3.32, 2 Y 3.38
Y  0.0000  0.0000  0.7761  4 W 3.07, 4 Tl 3.32, 2 Y 3.38
Tl  0.5000  0.5000  0.5000  8 Y 3.32, 2 Tl 3.38
W  0.5000  0.5000  0.0000  8 Y 3.07, 2 W 3.38

Calculated values
Distance to the lowest polymorph of the same formula (eV/f.u.): 0.00
Symmetry: Pmmm
Uncorrected energy (eV per atom): -6.858
Formation energy from the elements (eV per atom): 0.20
Calculated density (g cm⁻³): 9.48
M_tot (μB/f.u.): 0.000

Record 2
VASP calculation (GGA-PBE) on a geometry-optimized Tm2Zn3Ge2 structure.

a = 9.6597 Å, b = 9.6597 Å, c = 4.0258 Å
α = 90.00°, β = 90.00°, γ = 157.52°
Closest atoms and distances in Å follow each position.
Atoms (fractional coordinates):
Tm  0.1639  0.8361  0.0000  4 Ge 2.86, 1 Zn 3.11
Tm  0.8361  0.1639  0.0000  4 Ge 2.86, 1 Zn 3.11
Zn  0.0000  0.0000  0.0000  8 Zn 3.02, 2 Tm 3.11
Zn  0.4346  0.5654  0.5000  1 Zn 2.48, 1 Ge 2.63
Zn  0.5654  0.4346  0.5000  1 Zn 2.48, 1 Ge 2.63
Ge  0.2957  0.7043  0.5000  2 Ge 2.56, 1 Zn 2.63, 4 Tm 2.86
Ge  0.7043  0.2957  0.5000  2 Ge 2.56, 1 Zn 2.63, 4 Tm 2.86

Calculated values
Symmetry: Cmmm
Uncorrected energy (eV per atom): -3.468
Formation energy from the elements (eV per atom): -0.33
Calculated density (g cm⁻³): 7.85
M_tot (μB/f.u.): 0.000